Record 1
Computed, not measured: crystalline K2SnHg at its relaxed geometry at the PBE-GGA level of DFT. Values from VASP.

The structure in Quantum ESPRESSO input format:
```
&SYSTEM
  ibrav = 0, nat = 8, ntyp = 3
/
ATOMIC_SPECIES
K 39.10 K.upf
Sn 118.71 Sn.upf
Hg 200.59 Hg.upf
ATOMIC_POSITIONS crystal
K 0.750 0.977 0.325
K 0.250 0.023 0.675
K 0.250 0.675 0.023
K 0.750 0.325 0.977
Sn 0.250 0.229 0.229
Sn 0.750 0.771 0.771
Hg 0.500 0.500 0.500
Hg 0.000 0.500 0.500
CELL_PARAMETERS angstrom
6.714 0.000 0.000
0.000 6.638 -1.777
0.000 0.006 6.872
```

## Properties
The size of the total moment comes out at 0.00 μB/cell. The density of states at the Fermi level is 0.409 states/eV per cell. The value obtained for the energy of formation is -266.3 meV/atom.

Record 2
Computed, not measured: crystalline Zr2TaMn at its relaxed geometry at the PBE-GGA level of DFT. Values from VASP.

The structure in Quantum ESPRESSO input format:
```
&SYSTEM
  ibrav = 0, nat = 4, ntyp = 3
/
ATOMIC_SPECIES
Mn 54.94 Mn.upf
Ta 180.95 Ta.upf
Zr 91.22 Zr.upf
ATOMIC_POSITIONS crystal
Mn 0.500 0.500 0.250
Ta 0.500 0.500 0.750
Zr 0.000 0.000 0.031
Zr 0.000 0.000 0.469
CELL_PARAMETERS angstrom
-2.146 0.665 -2.289
-1.446 -2.812 0.538
-4.231 3.108 4.870
```

## Properties
The size of the total moment comes out at 0.00 μB/cell. The density of states at the Fermi level is 5.857 states/eV per cell. The value obtained for the energy of formation is 92.4 meV/atom.

Record 3
Computed, not measured: crystalline Sm3PS2 at its relaxed geometry at the PBE-GGA level of DFT. Values from VASP.

The structure in Quantum ESPRESSO input format:
```
&SYSTEM
  ibrav = 0, nat = 6, ntyp = 3
/
ATOMIC_SPECIES
Sm 150.36 Sm.upf
P 30.97 P.upf
S 32.06 S.upf
ATOMIC_POSITIONS crystal
Sm 0.838 0.338 0.176
Sm 0.162 0.662 0.824
Sm 0.500 0.000 0.500
P 0.500 0.500 0.500
S 0.833 0.833 0.165
S 0.167 0.167 0.835
CELL_PARAMETERS angstrom
-0.641 3.209 -2.365
3.323 -2.304 -4.026
-6.202 -3.215 0.764
```

## Properties
The size of the total moment comes out at 0.00 μB/cell. The density of states at the Fermi level is 2.136 states/eV per cell.

Record 4
Computed, not measured: crystalline Th3Ag at its relaxed geometry at the PBE-GGA level of DFT. Values from VASP.

The structure in Quantum ESPRESSO input format:
```
&SYSTEM
  ibrav = 0, nat = 4, ntyp = 2
/
ATOMIC_SPECIES
Ag 107.87 Ag.upf
Th 232.04 Th.upf
ATOMIC_POSITIONS crystal
Ag 0.000 0.995 0.000
Th 0.274 0.639 0.547
Th 0.500 0.442 0.000
Th 0.726 0.091 0.453
CELL_PARAMETERS angstrom
3.582 0.000 0.000
0.000 5.953 0.000
-1.791 -2.976 5.506
```

## Properties
The size of the total moment comes out at 0.00 μB/cell. The density of states at the Fermi level is 5.043 states/eV per cell. The value obtained for the energy of formation is 16.9 meV/atom.

Record 5
Computed, not measured: crystalline LiSm2Hg at its relaxed geometry at the PBE-GGA level of DFT. Values from VASP.

The structure in Quantum ESPRESSO input format:
```
&SYSTEM
  ibrav = 0, nat = 4, ntyp = 3
/
ATOMIC_SPECIES
Hg 200.59 Hg.upf
Sm 150.36 Sm.upf
Li 6.94 Li.upf
ATOMIC_POSITIONS crystal
Hg 0.000 0.000 0.000
Sm 0.250 0.250 0.250
Sm 0.750 0.750 0.750
Li 0.500 0.500 0.500
CELL_PARAMETERS angstrom
-1.744 4.935 -0.989
-5.091 0.807 -1.343
-3.310 2.391 3.420
```

## Properties
The size of the total moment comes out at 0.45 μB/cell. The density of states at the Fermi level is 4.916 states/eV per cell. The value obtained for the energy of formation is -206.4 meV/atom.

Record 6
Computed, not measured: crystalline LiTb2CdAu4 at its relaxed geometry at the PBE-GGA level of DFT. Values from VASP.

The structure in Quantum ESPRESSO input format:
```
&SYSTEM
  ibrav = 0, nat = 8, ntyp = 4
/
ATOMIC_SPECIES
Li 6.94 Li.upf
Tb 158.93 Tb.upf
Cd 112.41 Cd.upf
Au 196.97 Au.upf
ATOMIC_POSITIONS crystal
Li 0.500 0.500 0.500
Tb 0.748 0.748 0.757
Tb 0.252 0.252 0.243
Cd 0.000 0.000 0.000
Au 0.381 0.381 0.856
Au 0.872 0.872 0.383
Au 0.128 0.128 0.617
Au 0.619 0.619 0.144
CELL_PARAMETERS angstrom
4.945 0.000 0.000
2.473 4.283 0.000
2.473 1.428 7.919
```

## Properties
The size of the total moment comes out at 0.00 μB/cell. The density of states at the Fermi level is 5.753 states/eV per cell. The value obtained for the energy of formation is -691.9 meV/atom.

Computed calculated total energy, in the same sequence as the records: -1.891, -9.437, -6.568, -6.261, -3.120, -3.842 eV per atom.